# Mn2InSi | the Alexandria database | GGA-PBE | relaxed
# - calculated total energy (eV per atom) = -6.44
# - ΔE_f (raw) (meV per atom) = 181
# - D(E_F) (states/eV/cell) = 2.4
data_Mn2InSi
_symmetry_space_group_name_H-M 'P 1'
_symmetry_Int_Tables_number 1
_cell_length_a 3.740
_cell_length_b 3.944
_cell_length_c 3.944
_cell_angle_alpha 90.00
_cell_angle_beta 90.00
_cell_angle_gamma 90.00
loop_
_symmetry_equiv_pos_as_xyz
'x,y,z'
loop_
_atom_site_label
_atom_site_type_symbol
_atom_site_fract_x
_atom_site_fract_y
_atom_site_fract_z
In1 In 0.500 0.000 0.500
Mn1 Mn 0.000 0.000 0.000
Mn2 Mn 0.000 0.500 0.500
Si1 Si 0.500 0.500 0.000